No. 1
{"formula": "Li2AlAu6", "functional": "PBE-GGA", "state": "relaxed", "lattice": [[6.837, -2.781, 0.000], [6.837, 2.781, 0.000], [-0.239, 0.000, 4.471]], "species": ["Li", "Li", "Al", "Au", "Au", "Au", "Au", "Au", "Au"], "frac_coords": [[0.195, 0.195, 0.090], [0.805, 0.805, 0.910], [0.500, 0.500, 0.500], [0.092, 0.598, 0.412], [0.244, 0.756, 0.000], [0.402, 0.908, 0.588], [0.598, 0.092, 0.412], [0.756, 0.244, 0.000], [0.908, 0.402, 0.588]], "e_form_kcal_per_mol_atoms": -7.03, "dos_at_fermi_per_ev_cell": 2.07, "sg": "C2/m (12)", "energy_ry_per_atom": -0.2448, "density_g_cm3": 11.94, "relative_energy_kj_per_mol_fu": 57.6}



No. 2
{"formula": "Ho8Te4Pt3S", "functional": "PBE-GGA", "state": "relaxed", "lattice": [[4.149, 2.396, 7.154], [-4.149, 2.396, 7.154], [0.000, -4.791, 7.154]], "species": ["Ho", "Ho", "Ho", "Ho", "Ho", "Ho", "Ho", "Ho", "Te", "Te", "Te", "Te", "Pt", "Pt", "Pt", "S"], "frac_coords": [[0.231, 0.741, 0.741], [0.236, 0.236, 0.236], [0.259, 0.259, 0.769], [0.259, 0.769, 0.259], [0.741, 0.231, 0.741], [0.741, 0.741, 0.231], [0.764, 0.764, 0.764], [0.769, 0.259, 0.259], [0.000, 0.000, 0.000], [0.000, 0.500, 0.500], [0.500, 0.000, 0.500], [0.500, 0.500, 0.000], [0.000, 0.000, 0.500], [0.000, 0.500, 0.000], [0.500, 0.000, 0.000], [0.500, 0.500, 0.500]], "dos_at_fermi_per_ev_cell": 9.77, "sg": "R-3m (166)", "e_form_raw_ev_per_atom": -1.356, "energy_ry_per_atom": -0.4278, "density_g_cm3": 9.52}



What did the second record say?
{"formula": "Ho8Te4Pt3S", "functional": "PBE-GGA", "state": "relaxed", "lattice": [[4.149, 2.396, 7.154], [-4.149, 2.396, 7.154], [0.000, -4.791, 7.154]], "species": ["Ho", "Ho", "Ho", "Ho", "Ho", "Ho", "Ho", "Ho", "Te", "Te", "Te", "Te", "Pt", "Pt", "Pt", "S"], "frac_coords": [[0.231, 0.741, 0.741], [0.236, 0.236, 0.236], [0.259, 0.259, 0.769], [0.259, 0.769, 0.259], [0.741, 0.231, 0.741], [0.741, 0.741, 0.231], [0.764, 0.764, 0.764], [0.769, 0.259, 0.259], [0.000, 0.000, 0.000], [0.000, 0.500, 0.500], [0.500, 0.000, 0.500], [0.500, 0.500, 0.000], [0.000, 0.000, 0.500], [0.000, 0.500, 0.000], [0.500, 0.000, 0.000], [0.500, 0.500, 0.500]], "dos_at_fermi_per_ev_cell": 9.77, "sg": "R-3m (166)", "e_form_raw_ev_per_atom": -1.356, "energy_ry_per_atom": -0.4278, "density_g_cm3": 9.52}